Record 1
First-principles (PBE-GGA) data for a geometry-optimized NbCr3I structure, as listed in the Alexandria database.

a b c (Å): 4.5556 4.5556 4.5556
angles (deg): 90.00 90.00 90.00
Space group Pm-3m (No. 221)
Unique sites:
1 Nb 0.0000 0.0000 0.0000
2 Cr 0.0000 0.5000 0.5000
3 I 0.5000 0.5000 0.5000

Values from the calculation:
As for the crystal system: cubic.



Record 2
First-principles (PBE-GGA) data for a geometry-optimized NbCr2I2 structure, as listed in the Alexandria database.

a b c (Å): 3.3429 3.3429 17.4101
angles (deg): 90.00 90.00 90.00
Space group I4/mmm (No. 139)
Unique sites:
1 Nb 0.0000 0.0000 0.0000
2 Cr 0.0000 0.5000 0.2500
3 I 0.0000 0.0000 0.3939

Values from the calculation:
As for the crystal system: tetragonal.



no.,formation energy without anion corrections (eV per formula unit),E above lowest polymorph (eV per formula unit),D(E_F) (states/eV/atom)
1,10.0,2.50,1.03
2,5.0,0.52,1.02